[1]
Computed, not measured: a relaxed HfScAg crystal at the PBE level of DFT.

The structure in POSCAR format:
```
HfScAg
1.0
6.419 0.000 0.000
0.000 3.214 0.000
0.000 0.000 12.252
Hf Sc Ag
4 4 4
Direct
0.121 0.250 0.083
0.379 0.750 0.583
0.621 0.250 0.417
0.879 0.750 0.917
0.129 0.250 0.410
0.371 0.750 0.910
0.629 0.250 0.090
0.871 0.750 0.590
0.126 0.250 0.749
0.374 0.750 0.249
0.626 0.250 0.751
0.874 0.750 0.251
```

Computed properties:
The formation energy from the elements is -0.3 eV per formula unit. The space group is Pnma. The offset from the most stable computed form is 3.4 kJ per mole of atoms.


[2]
Computed, not measured: a relaxed HfPbSeN2 crystal at the PBE level of DFT.

The structure in POSCAR format:
```
HfPbSeN2
1.0
4.353 0.000 0.000
0.000 4.353 0.000
0.000 0.000 5.218
Hf Pb Se N
1 1 1 2
Direct
0.000 0.000 0.000
0.500 0.500 0.500
0.500 0.500 0.000
0.000 0.500 0.500
0.500 0.000 0.500
```

Computed properties:
The formation energy from raw total energies comes out at 1.4395 eV per atom. The space group is P4/mmm. The offset from the most stable computed form is 141.5 kJ per mole of atoms.


[3]
Computed, not measured: a relaxed NaPmO crystal at the PBE level of DFT.

The structure in POSCAR format:
```
NaPmO
1.0
3.858 0.000 0.000
-1.929 3.341 0.000
0.000 0.000 6.675
Na Pm O
1 1 1
Direct
0.000 0.000 0.000
0.667 0.333 0.474
0.333 0.667 0.531
```

Computed properties:
The formation energy from raw total energies comes out at -1.6200 eV per atom. The space group is P3m1. The offset from the most stable computed form is 16.9 kJ per mole of atoms.


[4]
Computed, not measured: a relaxed NaHgAu crystal at the PBE level of DFT.

The structure in POSCAR format:
```
NaHgAu
1.0
4.933 0.000 0.000
-2.466 4.272 0.000
0.000 0.000 3.240
Na Hg Au
1 1 1
Direct
0.000 0.000 0.000
0.333 0.667 0.500
0.667 0.333 0.500
```

Computed properties:
The formation energy from the elements is -0.7 eV per formula unit. The space group is P-6m2. The offset from the most stable computed form is 1.6 kJ per mole of atoms.


[5]
Computed, not measured: a relaxed Na3LiRu2O6 crystal at the PBE level of DFT.

The structure in POSCAR format:
```
Na3LiRu2O6
1.0
2.706 -4.345 0.000
2.706 4.345 0.000
-1.725 0.000 5.446
Na Li Ru O
3 1 2 6
Direct
0.000 0.000 0.000
0.333 0.667 0.000
0.667 0.333 0.000
0.500 0.500 0.500
0.150 0.850 0.500
0.850 0.150 0.500
0.090 0.442 0.307
0.236 0.236 0.731
0.442 0.090 0.307
0.558 0.910 0.693
0.764 0.764 0.269
0.910 0.558 0.693
```

Computed properties:
The formation energy from raw total energies comes out at -1.3579 eV per atom. The space group is C2/m.


[6]
Computed, not measured: a relaxed ZrRe2Mo2 crystal at the PBE level of DFT.

The structure in POSCAR format:
```
ZrRe2Mo2
1.0
7.680 0.000 0.000
0.000 7.680 0.000
0.000 0.000 2.908
Zr Re Mo
2 4 4
Direct
0.000 0.000 0.000
0.500 0.500 0.000
0.150 0.350 0.500
0.350 0.850 0.500
0.650 0.150 0.500
0.850 0.650 0.500
0.147 0.647 0.000
0.353 0.147 0.000
0.647 0.853 0.000
0.853 0.353 0.000
```

Computed properties:
The formation energy from the elements is 0.9 eV per formula unit. The space group is P4/mbm.


[7]
Computed, not measured: a relaxed PaBr4N2 crystal at the PBE level of DFT.

The structure in POSCAR format:
```
PaBr4N2
1.0
2.651 1.530 10.920
-2.651 1.530 10.920
0.000 -3.061 10.920
Pa Br N
1 4 2
Direct
0.000 0.000 0.000
0.082 0.082 0.082
0.318 0.318 0.318
0.682 0.682 0.682
0.918 0.918 0.918
0.200 0.200 0.200
0.800 0.800 0.800
```

Computed properties:
The formation energy from raw total energies comes out at 0.5371 eV per atom. The space group is R-3m.


[8]
Computed, not measured: a relaxed Sm8TmMg2 crystal at the PBE level of DFT.

The structure in POSCAR format:
```
Sm8TmMg2
1.0
8.892 -2.543 0.000
8.892 2.543 0.000
-2.489 0.000 7.709
Sm Tm Mg
8 1 2
Direct
0.049 0.049 0.233
0.140 0.140 0.695
0.317 0.317 0.570
0.407 0.407 0.042
0.593 0.593 0.958
0.683 0.683 0.430
0.860 0.860 0.305
0.951 0.951 0.767
0.500 0.500 0.500
0.227 0.227 0.134
0.773 0.773 0.866
```

Computed properties:
The formation energy from the elements is 0.1 eV per formula unit. The space group is C2/m. The offset from the most stable computed form is 0.0 kJ per mole of atoms.


[9]
Computed, not measured: a relaxed SnMoPt2W crystal at the PBE level of DFT.

The structure in POSCAR format:
```
SnMoPt2W
1.0
4.942 0.000 0.000
0.000 4.942 0.000
0.000 0.000 4.681
Sn Mo Pt W
1 1 2 1
Direct
0.000 0.000 0.000
0.500 0.500 0.000
0.000 0.500 0.500
0.500 0.000 0.500
0.500 0.500 0.500
```

Computed properties:
The formation energy from the elements is 5.5 eV per formula unit. The space group is P4/mmm.


[10]
Computed, not measured: a relaxed PrSmAlHg crystal at the PBE level of DFT.

The structure in POSCAR format:
```
PrSmAlHg
1.0
0.000 3.799 3.799
3.799 0.000 3.799
3.799 3.799 0.000
Pr Sm Al Hg
1 1 1 1
Direct
0.000 0.000 0.000
0.500 0.500 0.500
0.750 0.750 0.750
0.250 0.250 0.250
```

Computed properties:
The formation energy from the elements is -1.5 eV per formula unit. The space group is F-43m. The offset from the most stable computed form is 4.0 kJ per mole of atoms.


[11]
Computed, not measured: a relaxed LaTb2Pr12 crystal at the PBE level of DFT.

The structure in POSCAR format:
```
LaTb2Pr12
1.0
6.627 0.000 0.000
0.000 6.627 0.000
0.000 0.000 25.980
La Tb Pr
2 4 24
Direct
0.250 0.750 0.000
0.750 0.250 0.000
0.250 0.750 0.273
0.250 0.750 0.727
0.750 0.250 0.273
0.750 0.250 0.727
0.068 0.568 0.116
0.068 0.932 0.884
0.082 0.582 0.438
0.082 0.918 0.562
0.250 0.250 0.217
0.250 0.250 0.338
0.250 0.250 0.662
0.250 0.250 0.783
0.418 0.582 0.562
0.418 0.918 0.438
0.432 0.568 0.884
0.432 0.932 0.116
0.568 0.068 0.884
0.568 0.432 0.116
0.582 0.082 0.562
0.582 0.418 0.438
0.750 0.750 0.217
0.750 0.750 0.338
0.750 0.750 0.662
0.750 0.750 0.783
0.918 0.082 0.438
0.918 0.418 0.562
0.932 0.068 0.116
0.932 0.432 0.884
```

Computed properties:
The formation energy from the elements is 4.4 eV per formula unit. The space group is P4/nbm.


[12]
Computed, not measured: a relaxed LaCoCu2 crystal at the PBE level of DFT.

The structure in POSCAR format:
```
LaCoCu2
1.0
0.000 3.257 3.257
3.257 0.000 3.257
3.257 3.257 0.000
La Co Cu
1 1 2
Direct
0.000 0.000 0.000
0.750 0.750 0.750
0.250 0.250 0.250
0.500 0.500 0.500
```

Computed properties:
The formation energy from the elements is 0.9 eV per formula unit. The space group is F-43m.